Entry from the Open Quantum Materials Database: crystalline Na2Li3CoO4 at its relaxed geometry (PBE with a Hubbard U).

Cell and atoms, written as extended XYZ:
```
40
Lattice="7.919 0.000 0.000 0.000 8.100 0.000 0.000 0.000 6.529" Properties=species:S:1:pos:R:3 pbc="T T T"
Na 0.000 0.000 1.589
Na 0.000 0.000 4.940
Na 1.907 2.032 3.264
Na 2.053 6.082 0.000
Na 3.960 4.050 1.676
Na 3.960 4.050 4.853
Na 5.866 2.018 0.000
Na 6.012 6.067 3.264
Li 0.115 5.267 1.668
Li 0.115 5.267 4.860
Li 1.875 4.801 3.264
Li 2.084 0.751 0.000
Li 3.845 1.217 1.596
Li 3.845 1.217 4.932
Li 4.074 6.883 1.596
Li 4.074 6.883 4.932
Li 5.835 7.349 0.000
Li 6.044 3.299 3.264
Li 7.804 2.833 1.668
Li 7.804 2.833 4.860
Co 1.778 3.100 0.000
Co 2.182 7.150 3.264
Co 5.737 0.950 3.264
Co 6.141 5.000 0.000
O 0.347 1.820 0.000
O 0.471 6.325 3.264
O 1.559 3.929 1.626
O 1.559 3.929 4.902
O 2.401 7.979 1.638
O 2.401 7.979 4.890
O 3.489 2.275 0.000
O 3.613 5.870 3.264
O 4.306 2.230 3.264
O 4.430 5.825 0.000
O 5.519 0.121 1.638
O 5.519 0.121 4.890
O 6.360 4.171 1.626
O 6.360 4.171 4.902
O 7.448 1.775 3.264
O 7.572 6.280 0.000
```

Values from the calculation:
Symmetry: No. 58
V: 418.8 Å³ per cell
Total magnetization: 8.00 μB per cell
Uncorrected energy: -4.8169 eV per atom
Crystal system: orthorhombic


Entry from the Open Quantum Materials Database: crystalline NaLiCoO2 at its relaxed geometry (PBE with a Hubbard U).

Cell and atoms, written as extended XYZ:
```
5
Lattice="3.280 0.000 0.000 -1.640 2.840 0.000 0.000 0.000 5.750" Properties=species:S:1:pos:R:3 pbc="T T T"
Na 0.000 0.000 0.000
Li 0.000 1.894 1.779
Co 1.640 0.947 3.446
O 0.000 1.894 4.141
O 1.640 0.947 1.490
```

Values from the calculation:
Symmetry: No. 156
V: 53.6 Å³ per cell
Total magnetization: 3.00 μB per cell
Uncorrected energy: -5.0233 eV per atom
Crystal system: trigonal


Entry from the Open Quantum Materials Database: crystalline NaLi3CoTeO6 at its relaxed geometry (PBE with a Hubbard U).

Cell and atoms, written as extended XYZ:
```
12
Lattice="2.615 -4.555 0.000 2.615 4.555 0.000 -1.820 0.000 4.986" Properties=species:S:1:pos:R:3 pbc="T T T"
Na 0.000 0.000 0.000
Li 1.705 3.173 2.493
Li 2.615 1.645 0.000
Li 2.615 -1.495 0.000
Co 1.705 0.163 2.493
Te 1.705 -2.869 2.493
O 0.715 1.702 1.406
O -0.049 0.299 3.588
O 0.980 -1.491 1.326
O 2.695 1.702 3.580
O 3.459 0.299 1.398
O 2.430 -1.491 3.660
```

Values from the calculation:
Symmetry: No. 5
V: 118.8 Å³ per cell
Total magnetization: 3.00 μB per cell
Uncorrected energy: -5.3508 eV per atom
Crystal system: monoclinic